1.
Cr2SiHg | PBE | optimized geometry

Lattice parameters (Å, degrees): 4.679 4.679 2.961 90.00 90.00 101.11
Site moments in Bohr magnetons follow the coordinates.
Element x y z (fractional)
Cr1 0.000 0.000 0.000  3.01
Cr2 0.500 0.500 0.000  3.01
Hg1 0.500 0.000 0.500  -0.01
Si1 0.000 0.500 0.500  -0.14

Summary:
D(E_F) in states/eV/f.u.: 3.2

2.
La3PmPr6Ho2 | PBE | optimized geometry

Lattice parameters (Å, degrees): 6.395 6.395 12.204 95.03 95.03 120.05
Element x y z (fractional)
La1 0.167 0.833 0.500
La2 0.833 0.167 0.500
La3 0.500 0.500 0.500
Pm1 0.000 0.000 0.000
Pr1 0.918 0.584 0.755
Pr2 0.748 0.748 0.245
Pr3 0.082 0.416 0.245
Pr4 0.584 0.918 0.755
Pr5 0.252 0.252 0.755
Pr6 0.416 0.082 0.245
Ho1 0.333 0.667 0.000
Ho2 0.667 0.333 0.000

Summary:
ΔE_f in meV/atom: 17
D(E_F) in states/eV/f.u.: 20.0

3.
Mg8AlPb6 | PBE | optimized geometry

Lattice parameters (Å, degrees): 8.547 8.547 8.219 58.67 58.67 60.00
Element x y z (fractional)
Mg1 0.547 0.221 0.342
Mg2 0.779 0.110 0.658
Mg3 0.110 0.453 0.658
Mg4 0.669 0.669 0.993
Mg5 0.331 0.331 0.007
Mg6 0.890 0.547 0.342
Mg7 0.221 0.890 0.342
Mg8 0.453 0.779 0.658
Al1 0.000 0.000 0.000
Pb1 0.392 0.069 0.803
Pb2 0.931 0.264 0.197
Pb3 0.264 0.608 0.197
Pb4 0.736 0.392 0.803
Pb5 0.069 0.736 0.803
Pb6 0.608 0.931 0.197

Summary:
ΔE_f in meV/atom: 95
D(E_F) in states/eV/f.u.: 9.3

4.
NaTlPt | PBE | optimized geometry

Lattice parameters (Å, degrees): 4.364 4.365 7.337 89.85 90.07 90.00
Element x y z (fractional)
Na1 0.813 0.868 0.609
Na2 0.314 0.365 0.230
Tl1 0.814 0.865 0.163
Tl2 0.313 0.368 0.676
Pt1 0.814 0.366 0.920
Pt2 0.314 0.867 0.920

Summary:
ΔE_f in meV/atom: -200
D(E_F) in states/eV/f.u.: 0.5

5.
RbGeN3 | PBE | optimized geometry

Lattice parameters (Å, degrees): 4.417 4.417 4.417 90.00 90.00 90.00
Site moments in Bohr magnetons follow the coordinates.
Element x y z (fractional)
Ge1 0.500 0.500 0.500  -0.15
Rb1 0.000 0.000 0.000  0.06
N1 0.000 0.500 0.000  0.93
N2 0.000 0.000 0.500  0.78
N3 0.500 0.000 0.000  0.71

Summary:
D(E_F) in states/eV/f.u.: 3.2

6.
Tl4GaHg5 | PBE | optimized geometry

Lattice parameters (Å, degrees): 6.306 7.481 7.481 79.77 65.07 65.07
Element x y z (fractional)
Tl1 0.396 0.376 0.749
Tl2 0.772 0.749 0.624
Tl3 0.144 0.251 0.376
Tl4 0.521 0.624 0.251
Ga1 0.192 0.000 0.000
Hg1 0.857 0.346 0.860
Hg2 0.203 0.860 0.654
Hg3 0.717 0.140 0.346
Hg4 0.063 0.654 0.140
Hg5 0.645 0.000 0.000

Summary:
ΔE_f in meV/atom: 16
D(E_F) in states/eV/f.u.: 3.5

7.
Ba2Mg2Br | PBE | optimized geometry

Lattice parameters (Å, degrees): 9.036 9.036 5.598 90.00 90.00 90.00
Element x y z (fractional)
Mg1 0.114 0.614 0.500
Mg2 0.614 0.886 0.500
Mg3 0.886 0.386 0.500
Mg4 0.386 0.114 0.500
Ba1 0.322 0.822 0.000
Ba2 0.822 0.678 0.000
Ba3 0.678 0.178 0.000
Ba4 0.178 0.322 0.000
Br1 0.000 0.000 0.000
Br2 0.500 0.500 0.000

Summary:
D(E_F) in states/eV/f.u.: 10.5

8.
TbIF | PBE | optimized geometry

Lattice parameters (Å, degrees): 4.210 6.795 8.718 45.01 61.08 72.03
Element x y z (fractional)
Tb1 0.961 0.626 0.727
Tb2 0.039 0.374 0.273
F1 0.352 0.487 0.905
F2 0.648 0.513 0.095
I1 0.767 0.839 0.316
I2 0.233 0.161 0.684

Summary:
D(E_F) in states/eV/f.u.: 0.6

9.
Sr6Cd3In | PBE | optimized geometry

Lattice parameters (Å, degrees): 5.808 10.318 13.007 106.98 90.00 90.00
Element x y z (fractional)
Sr1 0.250 0.494 0.104
Sr2 0.750 0.506 0.896
Sr3 0.250 0.132 0.178
Sr4 0.750 0.868 0.822
Sr5 0.250 0.631 0.676
Sr6 0.750 0.369 0.324
Sr7 0.250 0.242 0.500
Sr8 0.750 0.758 0.500
Sr9 0.250 0.852 0.335
Sr10 0.750 0.148 0.665
Sr11 0.250 0.117 0.884
Sr12 0.750 0.883 0.116
Cd1 0.250 0.548 0.391
Cd2 0.750 0.452 0.609
Cd3 0.250 0.364 0.774
Cd4 0.750 0.636 0.226
Cd5 0.250 0.779 0.964
Cd6 0.750 0.221 0.036
In1 0.250 0.938 0.624
In2 0.750 0.062 0.376

Summary:
ΔE_f in meV/atom: -261
D(E_F) in states/eV/f.u.: 9.3

10.
Ac3PrTl4 | PBE | optimized geometry

Lattice parameters (Å, degrees): 3.993 7.583 10.693 110.76 100.76 90.00
Element x y z (fractional)
Ac1 0.000 0.500 0.000
Ac2 0.215 0.215 0.430
Ac3 0.785 0.785 0.570
Pr1 0.500 0.000 0.000
Tl1 0.375 0.586 0.750
Tl2 0.625 0.414 0.250
Tl3 0.625 0.836 0.250
Tl4 0.375 0.164 0.750

Summary:
ΔE_f in meV/atom: -242
D(E_F) in states/eV/f.u.: 8.3

11.
NdEr12In6 | PBE | optimized geometry

Lattice parameters (Å, degrees): 8.785 8.785 8.785 103.49 103.49 103.49
Element x y z (fractional)
Nd1 0.000 0.000 0.000
Er1 0.876 0.124 0.500
Er2 0.820 0.555 0.555
Er3 0.555 0.555 0.820
Er4 0.445 0.180 0.445
Er5 0.445 0.445 0.180
Er6 0.180 0.445 0.445
Er7 0.124 0.500 0.876
Er8 0.500 0.876 0.124
Er9 0.124 0.876 0.500
Er10 0.876 0.500 0.124
Er11 0.500 0.124 0.876
Er12 0.555 0.820 0.555
In1 0.700 0.242 0.242
In2 0.242 0.242 0.700
In3 0.242 0.700 0.242
In4 0.758 0.758 0.300
In5 0.300 0.758 0.758
In6 0.758 0.300 0.758

Summary:
ΔE_f in meV/atom: -45
D(E_F) in states/eV/f.u.: 26.0

12.
TbDy4Y4 | PBE | optimized geometry

Lattice parameters (Å, degrees): 6.165 6.160 11.794 84.97 64.14 48.19
Element x y z (fractional)
Tb1 0.500 0.000 0.000
Dy1 0.610 0.556 0.223
Dy2 0.722 0.112 0.445
Dy3 0.390 0.444 0.777
Dy4 0.278 0.888 0.555
Y1 0.166 0.333 0.334
Y2 0.834 0.667 0.666
Y3 0.945 0.222 0.889
Y4 0.055 0.778 0.111

Summary:
ΔE_f in meV/atom: 20
D(E_F) in states/eV/f.u.: 12.5

13.
Si3Sb | PBE | optimized geometry

Lattice parameters (Å, degrees): 4.624 4.624 3.455 90.00 90.00 90.00
Element x y z (fractional)
Sb1 0.000 0.000 0.000
Si1 0.500 0.000 0.500
Si2 0.500 0.500 0.000
Si3 0.000 0.500 0.500

Summary:
D(E_F) in states/eV/f.u.: 1.5

14.
Fe2SbAu | PBE | optimized geometry

Lattice parameters (Å, degrees): 4.898 4.898 4.031 65.63 65.63 48.81
Site moments in Bohr magnetons follow the coordinates.
Element x y z (fractional)
Au1 0.250 0.250 0.250  0.04
Fe1 0.000 0.000 0.002  2.71
Fe2 0.500 0.500 0.498  2.71
Sb1 0.750 0.750 0.750  0.00

Summary:
D(E_F) in states/eV/f.u.: 4.2

15.
Sr2UInO6 | PBE | optimized geometry

Lattice parameters (Å, degrees): 5.928 6.039 8.437 90.00 89.83 90.00
Site moments in Bohr magnetons follow the coordinates.
Element x y z (fractional)
Sr1 0.010 0.958 0.251  0.00
Sr2 0.510 0.542 0.751  0.00
Sr3 0.990 0.042 0.749  0.00
Sr4 0.490 0.458 0.249  0.00
U1 0.500 0.000 0.500  1.07
U2 0.000 0.500 0.000  1.07
In1 0.500 0.000 0.000  -0.01
In2 0.000 0.500 0.500  -0.01
O1 0.291 0.704 0.045  -0.02
O2 0.791 0.796 0.545  -0.02
O3 0.709 0.296 0.955  -0.02
O4 0.209 0.204 0.455  -0.02
O5 0.297 0.711 0.451  -0.02
O6 0.797 0.789 0.951  -0.02
O7 0.703 0.289 0.549  -0.02
O8 0.203 0.211 0.049  -0.02
O9 0.911 0.530 0.247  -0.02
O10 0.411 0.970 0.747  -0.02
O11 0.089 0.470 0.753  -0.02
O12 0.589 0.030 0.253  -0.02

16.
Tm5Ge4 | PBE | optimized geometry

Lattice parameters (Å, degrees): 7.550 7.618 14.500 90.00 90.00 90.00
Element x y z (fractional)
Tm1 0.620 0.160 0.618
Tm2 0.120 0.340 0.882
Tm3 0.380 0.840 0.118
Tm4 0.880 0.660 0.382
Tm5 0.380 0.840 0.382
Tm6 0.880 0.660 0.118
Tm7 0.620 0.160 0.882
Tm8 0.120 0.340 0.618
Tm9 0.468 0.676 0.602
Tm10 0.968 0.824 0.898
Tm11 0.532 0.324 0.102
Tm12 0.032 0.176 0.398
Tm13 0.532 0.324 0.398
Tm14 0.032 0.176 0.102
Tm15 0.468 0.676 0.898
Tm16 0.968 0.824 0.602
Tm17 0.785 0.498 0.750
Tm18 0.285 0.002 0.750
Tm19 0.215 0.502 0.250
Tm20 0.715 0.998 0.250
Ge1 0.721 0.968 0.456
Ge2 0.221 0.532 0.044
Ge3 0.279 0.032 0.956
Ge4 0.779 0.468 0.544
Ge5 0.279 0.032 0.544
Ge6 0.779 0.468 0.956
Ge7 0.721 0.968 0.044
Ge8 0.221 0.532 0.456
Ge9 0.418 0.380 0.750
Ge10 0.918 0.120 0.750
Ge11 0.582 0.620 0.250
Ge12 0.082 0.880 0.250
Ge13 0.661 0.860 0.750
Ge14 0.161 0.640 0.750
Ge15 0.339 0.140 0.250
Ge16 0.839 0.360 0.250

Summary:
ΔE_f in meV/atom: -849
D(E_F) in states/eV/f.u.: 4.1

17.
Ca2DyUS6 | PBE | optimized geometry

Lattice parameters (Å, degrees): 6.973 6.973 7.345 61.66 61.66 60.00
Site moments in Bohr magnetons follow the coordinates.
Element x y z (fractional)
Ca1 0.525 0.525 0.424  0.00
Ca2 0.020 0.020 0.939  0.00
Dy1 0.818 0.818 0.547  -0.02
U1 0.322 0.322 0.034  1.22
S1 0.589 0.197 0.259  -0.03
S2 0.197 0.955 0.259  -0.03
S3 0.955 0.589 0.259  -0.03
S4 0.437 0.692 0.765  -0.03
S5 0.692 0.106 0.765  -0.03
S6 0.106 0.437 0.765  -0.03

Summary:
D(E_F) in states/eV/f.u.: 0.1

18.
Nd12ZnCd3 | PBE | optimized geometry

Lattice parameters (Å, degrees): 4.966 4.966 19.805 90.00 90.00 90.00
Element x y z (fractional)
Nd1 0.500 0.500 0.000
Nd2 0.500 0.500 0.247
Nd3 0.500 0.500 0.500
Nd4 0.500 0.500 0.753
Nd5 0.500 0.000 0.121
Nd6 0.500 0.000 0.374
Nd7 0.500 0.000 0.626
Nd8 0.500 0.000 0.879
Nd9 0.000 0.500 0.121
Nd10 0.000 0.500 0.374
Nd11 0.000 0.500 0.626
Nd12 0.000 0.500 0.879
Zn1 0.000 0.000 0.000
Cd1 0.000 0.000 0.248
Cd2 0.000 0.000 0.500
Cd3 0.000 0.000 0.752

Summary:
ΔE_f in meV/atom: -95
D(E_F) in states/eV/f.u.: 23.0

19.
Cr | PBE | optimized geometry

Lattice parameters (Å, degrees): 7.113 7.113 7.113 90.00 90.00 90.00
Site moments in Bohr magnetons follow the coordinates.
Element x y z (fractional)
Cr1 0.216 0.216 0.216  2.20
Cr2 0.216 0.784 0.784  2.20
Cr3 0.784 0.216 0.784  2.20
Cr4 0.784 0.784 0.216  2.20
Cr5 0.716 0.716 0.716  2.20
Cr6 0.716 0.284 0.284  2.20
Cr7 0.284 0.716 0.284  2.20
Cr8 0.284 0.284 0.716  2.20
Cr9 0.369 0.369 0.369  -2.12
Cr10 0.369 0.631 0.631  -2.12
Cr11 0.631 0.369 0.631  -2.12
Cr12 0.631 0.631 0.369  -2.12
Cr13 0.869 0.869 0.869  -2.12
Cr14 0.869 0.131 0.131  -2.12
Cr15 0.131 0.869 0.131  -2.12
Cr16 0.131 0.131 0.869  -2.12

Summary:
ΔE_f in meV/atom: 1923
D(E_F) in states/eV/f.u.: 0.4

20.
CdSe2SN | PBE | optimized geometry

Lattice parameters (Å, degrees): 5.299 5.299 4.164 90.00 90.00 90.00
Site moments in Bohr magnetons follow the coordinates.
Element x y z (fractional)
S1 0.500 0.500 0.500  -0.02
N1 0.000 0.000 0.500  1.21
Se1 0.000 0.500 0.000  0.05
Se2 0.500 0.000 0.000  0.05
Cd1 0.000 0.000 0.000  0.03

Summary:
D(E_F) in states/eV/f.u.: 4.4

21.
Li2Ac3Sc2Tl4 | PBE | optimized geometry

Lattice parameters (Å, degrees): 5.048 5.048 15.453 90.00 90.00 120.00
Element x y z (fractional)
Li1 0.667 0.333 0.865
Li2 0.333 0.667 0.135
Ac1 0.000 0.000 0.738
Ac2 0.000 0.000 0.000
Ac3 0.000 0.000 0.262
Sc1 0.667 0.333 0.432
Sc2 0.333 0.667 0.568
Tl1 0.667 0.333 0.129
Tl2 0.333 0.667 0.871
Tl3 0.667 0.333 0.622
Tl4 0.333 0.667 0.378

Summary:
ΔE_f in meV/atom: -166
D(E_F) in states/eV/f.u.: 15.9

Number 1: magnetization 6.26 μB/f.u., total energy -5.778 eV/atom. Number 2: magnetization 0.00 μB/f.u., total energy -4.763 eV/atom. Number 3: magnetization 0.00 μB/f.u., total energy -2.488 eV/atom. Number 4: magnetization 0.00 μB/f.u., total energy -3.442 eV/atom. Number 5: magnetization 3.17 μB/f.u., total energy -2.871 eV/atom. Number 6: magnetization 0.00 μB/f.u., total energy -1.384 eV/atom. Number 7: magnetization 0.00 μB/f.u., total energy -2.189 eV/atom. Number 8: magnetization 0.00 μB/f.u., total energy -4.952 eV/atom. Number 9: magnetization 0.00 μB/f.u., total energy -1.819 eV/atom. Number 10: magnetization 0.00 μB/f.u., total energy -3.563 eV/atom. Number 11: magnetization 0.00 μB/f.u., total energy -4.042 eV/atom. Number 12: magnetization 0.00 μB/f.u., total energy -5.413 eV/atom. Number 13: magnetization 0.00 μB/f.u., total energy -4.464 eV/atom. Number 14: magnetization 5.47 μB/f.u., total energy -5.829 eV/atom. Number 15: magnetization 1.00 μB/f.u., total energy -7.494 eV/atom. Number 16: magnetization 0.00 μB/f.u., total energy -5.385 eV/atom. Number 17: magnetization 1.00 μB/f.u., total energy -6.252 eV/atom. Number 18: magnetization 0.00 μB/f.u., total energy -3.923 eV/atom. Number 19: magnetization 0.05 μB/f.u., total energy -7.700 eV/atom. Number 20: magnetization 1.91 μB/f.u., total energy -2.622 eV/atom. Number 21: magnetization 0.01 μB/f.u., total energy -3.646 eV/atom.